(1)
Below is Pr2CuGeN after structural relaxation, with properties calculated at the PBE-GGA level.

Crystal system = monoclinic
Theoretical density = 6.9 g cm⁻³
Energy relative to the elements, uncorrected = -823 meV per atom

a = 6.708 Å, b = 3.882 Å, c = 8.346 Å
α = 90.00°, β = 107.81°, γ = 90.00°
Space group P2_1/m (No. 11)
One atom of each set of equivalent atoms:
Pr 0.197 0.250 0.385 x2
Pr 0.212 0.250 0.964 x2
Cu 0.463 0.750 0.248 x2
Ge 0.307 0.750 0.697 x2
N 0.159 0.750 0.166 x2

***

(2)
Below is Mn2BeCr2 after structural relaxation, with properties calculated at the PBE-GGA level.

Crystal system = monoclinic
Theoretical density = 6.5 g cm⁻³
DFT formation energy = 0.358 eV per atom

a = 6.219 Å, b = 4.819 Å, c = 4.283 Å
α = 90.00°, β = 117.33°, γ = 90.00°
Space group C2/m (No. 12)
One atom of each set of equivalent atoms:
Mn 0.195 0.000 0.151 x4
Be 0.000 0.500 0.000 x2
Cr 0.000 0.225 0.500 x4

***

(3)
Below is KAs4H3 after structural relaxation, with properties calculated at the PBE-GGA level.

Crystal system = triclinic
Theoretical density = 3.4 g cm⁻³
E_tot = -3.76 eV/atom

a = 4.863 Å, b = 5.849 Å, c = 6.137 Å
α = 87.12°, β = 80.22°, γ = 78.21°
Space group P1 (No. 1)
One atom of each set of equivalent atoms:
K 0.000 0.000 0.000 x1
As 0.453 0.421 0.839 x1
As 0.491 0.248 0.468 x1
As 0.494 0.664 0.305 x1
As 0.624 0.772 0.654 x1
H 0.123 0.507 0.856 x1
H 0.168 0.274 0.469 x1
H 0.802 0.586 0.175 x1

***

(4)
Below is DyTeCl after structural relaxation, with properties calculated at the PBE-GGA level.

Crystal system = trigonal
Theoretical density = 5.0 g cm⁻³
Energy relative to the elements, uncorrected = -1692 meV per atom

a = 4.2296 Å, b = 4.2296 Å, c = 6.9547 Å
α = 90.00°, β = 90.00°, γ = 120.00°
Space group P3m1 (No. 156)
One atom of each set of equivalent atoms:
Dy 0.0000 0.0000 0.0000 x1
Te 0.3333 0.6667 0.7541 x1
Cl 0.6667 0.3333 0.2129 x1